## MnBeAl3 (PBE)

Data for a relaxed structure of MnBeAl3.

Structure (POSCAR):
```
MnBeAl3
1.0
4.4808 0.0000 0.0000
0.0000 4.4808 0.0000
0.0000 0.0000 4.4808
Al Be Mn
3 1 1
Cartesian
2.2404 0.0000 0.0000 Al
0.0000 2.2404 0.0000 Al
0.0000 0.0000 2.2404 Al
2.2404 2.2404 2.2404 Be
0.0000 0.0000 0.0000 Mn
```

Computed properties:
volume = 90.0 Å³/f.u.
E_tot = -4.1440 eV/atom
symmetry = Pm-3m, No. 221
ΔH_f (0 K) = 0.681 eV per atom
mass density = 2.67 g/cm³

=====

## SrLiEuAg (PBE)

Data for a relaxed structure of SrLiEuAg.

Structure (POSCAR):
```
SrLiEuAg
1.0
-1.0296 -5.4835 -0.3921
0.3780 -2.5692 -4.9537
4.1919 -3.5690 -0.9866
Sr Ag Eu Li
1 1 1 1
Cartesian
1.7702 -5.8109 -3.1662 Sr
0.8851 -2.9054 -1.5831 Ag
0.0000 0.0000 0.0000 Eu
2.6552 -8.7163 -4.7493 Li
```

Computed properties:
volume = 123.7 Å³/f.u.
E_tot = -4.2860 eV/atom
symmetry = F-43m, No. 216
ΔH_f (0 K) = -0.106 eV per atom
mass density = 4.76 g/cm³

=====

## YTlCr2 (PBE)

Data for a relaxed structure of YTlCr2.

Structure (POSCAR):
```
YTlCr2
1.0
-1.5244 -2.1574 4.0418
2.7142 -2.0072 -0.0477
2.6959 3.5845 2.9300
Cr Y Tl
2 1 1
Cartesian
3.1738 2.8015 2.6924 Cr
2.2271 1.5716 1.6788 Cr
3.2954 0.1042 4.1826 Y
0.5903 -0.6844 2.7415 Tl
```

Computed properties:
volume = 87.3 Å³/f.u.
E_tot = -6.4342 eV/atom
symmetry = P2/m, No. 10
ΔH_f (0 K) = 0.585 eV per atom
mass density = 7.55 g/cm³

=====

## Ca2GeSe (PBE)

Data for a relaxed structure of Ca2GeSe.

Structure (POSCAR):
```
Ca2GeSe
1.0
7.8831 0.0000 0.0000
0.0000 7.8831 0.0000
3.9416 3.9416 3.5887
Ca Se Ge
4 2 2
Cartesian
9.8539 9.9655 2.6916 Ca
6.0240 1.9708 0.8972 Ca
1.8592 5.9123 0.8972 Ca
5.9123 5.8007 2.6916 Ca
0.0000 0.0000 0.0000 Se
7.8831 3.9416 1.7944 Se
3.9416 3.9416 0.0000 Ge
3.9416 7.8831 1.7944 Ge
```

Computed properties:
volume = 111.5 Å³/f.u.
E_tot = -3.8406 eV/atom
symmetry = I-42d, No. 122
mass density = 3.45 g/cm³

=====

## LaNd2US8 (PBE)

Data for a relaxed structure of LaNd2US8.

Structure (POSCAR):
```
LaNd2US8
1.0
-0.1190 0.5133 -4.7031
6.6252 -1.2804 -0.3071
-1.7794 -8.9835 -0.9353
La Nd S U
1 2 8 1
Cartesian
-0.8897 -4.4917 -0.4676 La
2.8061 -2.6420 -2.7402 Nd
1.9207 -7.1086 -3.2052 Nd
1.0993 -1.8154 -4.9879 S
3.3291 -9.7254 -3.5263 S
0.7283 -4.5591 -2.8969 S
3.9985 -5.1916 -3.0485 S
3.6275 -7.9352 -0.9576 S
0.1182 -6.7665 -5.5034 S
4.6087 -2.9842 -0.4421 S
1.3977 -0.0252 -2.4191 S
0.0000 0.0000 0.0000 U
```

Computed properties:
volume = 294.3 Å³/f.u.
E_tot = -6.4802 eV/atom
symmetry = Pmmm, No. 47
mass density = 5.20 g/cm³

=====

## Dy2C3N6 (PBE)

Data for a relaxed structure of Dy2C3N6.

Structure (POSCAR):
```
Dy2C3N6
1.0
3.6764 0.0000 -0.9812
-0.1471 5.2113 -0.5510
0.0178 0.0015 7.4447
C N Dy
3 6 2
Cartesian
-0.0735 2.6056 -0.2755 C
2.3876 3.0923 1.5677 C
1.1596 2.1205 4.3448 C
-0.0662 3.8373 -0.2480 N
2.4212 4.3349 1.6936 N
3.6134 1.3755 6.1605 N
1.1822 3.3351 4.4293 N
1.1260 0.8779 4.2189 N
2.3650 1.8776 1.4832 N
0.4878 0.3628 1.8278 Dy
3.0593 4.8500 4.0847 Dy
```

Computed properties:
volume = 142.7 Å³/f.u.
E_tot = -8.6860 eV/atom
symmetry = C2/m, No. 12
mass density = 5.18 g/cm³

=====

## ZrCdSe2Br (PBE)

Data for a relaxed structure of ZrCdSe2Br.

Structure (POSCAR):
```
ZrCdSe2Br
1.0
-1.2729 -4.6387 -2.0976
3.6059 0.7047 -3.7467
3.6929 -2.4151 3.0999
Se Zr Br Cd
2 1 1 1
Cartesian
-0.6365 -2.3193 -1.0488 Se
1.8030 0.3524 -1.8734 Se
0.0000 0.0000 0.0000 Zr
1.8464 -1.2076 1.5499 Br
3.0129 -3.1745 -1.3722 Cd
```

Computed properties:
volume = 148.5 Å³/f.u.
E_tot = -4.2355 eV/atom
symmetry = P4/mmm, No. 123
mass density = 4.94 g/cm³

=====

## TiGaCu2H (PBE)

Data for a relaxed structure of TiGaCu2H.

Structure (POSCAR):
```
TiGaCu2H
1.0
3.8974 0.0000 0.0000
0.0000 3.8974 0.0000
0.0000 0.0000 3.8385
Ga Cu Ti H
1 2 1 1
Cartesian
1.9487 1.9487 1.9193 Ga
0.0000 1.9487 0.0000 Cu
1.9487 0.0000 0.0000 Cu
0.0000 0.0000 1.9193 Ti
0.0000 0.0000 0.0000 H
```

Computed properties:
volume = 58.3 Å³/f.u.
E_tot = -4.6502 eV/atom
symmetry = P4/mmm, No. 123
mass density = 7.00 g/cm³

=====

| no. | magnetic moment (μB per atom) |
| --- | --- |
| 1 | 0.00 |
| 2 | 1.92 |
| 3 | 0.00 |
| 4 | 0.00 |
| 5 | 0.00 |
| 6 | 0.00 |
| 7 | 0.00 |
| 8 | 0.00 |